Record 1
Material: CaZn2HgBr
Method: DFT, PBE
State: optimized geometry Values from VASP.

Geometry as Quantum ESPRESSO input:
```
&SYSTEM
  ibrav = 0, nat = 5, ntyp = 4
/
ATOMIC_SPECIES
Zn 65.41 Zn.upf
Ca 40.08 Ca.upf
Hg 200.59 Hg.upf
Br 79.90 Br.upf
ATOMIC_POSITIONS angstrom
Zn 0.356 -2.072 1.307
Zn -0.128 1.303 2.101
Ca -2.976 -1.253 3.513
Hg 0.000 0.000 0.000
Br -3.205 -0.484 0.106
CELL_PARAMETERS angstrom
-0.255 2.606 4.202
-6.409 -0.968 0.211
0.712 -4.144 2.614
```

Results
ρ = 4.71 g/cm³
Crystal system = tetragonal
Spin magnetization = 0.0 Bohr magnetons per cell
E_form (uncorrected) = -0.10 eV/atom
Space-group type = P4/mmm (123)
DOS(E_F) = 2.37 states/eV/f.u.

Record 2
Material: CaHoBr6
Method: DFT, PBE
State: optimized geometry Values from VASP.

Geometry as Quantum ESPRESSO input:
```
&SYSTEM
  ibrav = 0, nat = 8, ntyp = 3
/
ATOMIC_SPECIES
Ca 40.08 Ca.upf
Ho 164.93 Ho.upf
Br 79.90 Br.upf
ATOMIC_POSITIONS angstrom
Ca 0.000 0.000 0.000
Ho -7.827 4.727 0.699
Br -6.344 4.367 3.003
Br -7.021 7.430 0.444
Br -5.609 3.969 -0.828
Br -8.633 2.025 0.954
Br -9.310 5.087 -1.605
Br -10.045 5.486 2.226
CELL_PARAMETERS angstrom
-4.711 4.089 -3.594
-7.016 -0.461 1.355
-3.927 5.827 3.637
```

Results
ρ = 4.04 g/cm³
Crystal system = triclinic
Spin magnetization = 1.0 Bohr magnetons per cell
E_form (uncorrected) = -1.55 eV/atom
Space-group type = P-1 (2)
DOS(E_F) = 8.84 states/eV/f.u.

Record 3
Material: CaHo2Br
Method: DFT, PBE
State: optimized geometry Values from VASP.

Geometry as Quantum ESPRESSO input:
```
&SYSTEM
  ibrav = 0, nat = 4, ntyp = 3
/
ATOMIC_SPECIES
Ca 40.08 Ca.upf
Ho 164.93 Ho.upf
Br 79.90 Br.upf
ATOMIC_POSITIONS angstrom
Ca 0.000 0.000 0.000
Ho 1.777 1.026 8.093
Ho 5.330 3.077 3.387
Br 3.554 2.052 5.740
CELL_PARAMETERS angstrom
3.554 0.000 0.000
1.777 3.077 0.000
1.777 1.026 11.480
```

Results
ρ = 5.95 g/cm³
Crystal system = trigonal
Spin magnetization = 0.0 Bohr magnetons per cell
E_form (uncorrected) = -0.24 eV/atom
Space-group type = R-3m (166)
DOS(E_F) = 6.14 states/eV/f.u.

Record 4
Material: CaHoBr
Method: DFT, PBE
State: optimized geometry Values from VASP.

Geometry as Quantum ESPRESSO input:
```
&SYSTEM
  ibrav = 0, nat = 6, ntyp = 3
/
ATOMIC_SPECIES
Ca 40.08 Ca.upf
Ho 164.93 Ho.upf
Br 79.90 Br.upf
ATOMIC_POSITIONS angstrom
Ca 1.861 0.715 0.000
Ca 0.000 1.789 7.467
Ho 1.861 0.717 4.484
Ho 1.861 0.717 10.451
Br 0.000 1.790 12.700
Br 0.000 1.790 2.235
CELL_PARAMETERS angstrom
3.721 0.000 0.000
-1.861 3.222 0.000
0.000 0.000 14.935
```

Results
ρ = 5.28 g/cm³
Crystal system = hexagonal
Spin magnetization = 1.4 Bohr magnetons per cell
E_form (uncorrected) = -0.69 eV/atom
Space-group type = P-6m2 (187)
DOS(E_F) = 2.80 states/eV/f.u.